[1]
Density functional theory data (PBE) for a relaxed Pm6CdIn2 crystal.

formation energy from the elements = -240 meV per atom

Lattice parameters (Å, degrees): 4.616 8.412 8.419 119.97 90.00 90.00
Element x y z (fractional)
Pm 0.000 0.265 0.000
Pm 0.500 0.595 0.000
Pm 0.500 0.406 0.406
Cd 0.500 0.000 0.000
Pm 0.500 0.000 0.594
In 0.000 0.667 0.333
In 0.000 0.333 0.667
Pm 0.000 0.000 0.266
Pm 0.000 0.735 0.734

[2]
Density functional theory data (PBE) for a relaxed Pm7Cd2In2 crystal.

formation energy from the elements = -17 meV per atom

Lattice parameters (Å, degrees): 6.855 8.310 6.855 89.99 111.01 90.01
Element x y z (fractional)
Pm 0.500 0.709 0.000
Pm 0.500 0.291 0.000
In 0.181 0.500 0.181
In 0.819 0.500 0.819
Pm 0.000 0.709 0.500
Pm 0.500 0.254 0.500
Cd 0.287 0.000 0.713
Pm 0.000 0.291 0.500
Cd 0.713 0.000 0.287
Pm 0.000 0.000 0.000
Pm 0.500 0.746 0.500

[3]
Density functional theory data (PBE) for a relaxed Pm3CdIn crystal.

formation energy from the elements = -307 meV per atom

Lattice parameters (Å, degrees): 5.398 5.396 10.590 90.00 75.24 90.00
Each line ends with the local moment (μB).
Element x y z (fractional)
In 0.479 0.750 0.691  0.01
Pm 0.574 0.250 0.501  0.13
Pm 0.075 0.750 0.499  0.13
In 0.170 0.250 0.309  0.01
Cd 0.671 0.750 0.306  0.00
Cd 0.977 0.250 0.694  0.00
Pm 0.885 0.750 0.879  0.20
Pm 0.384 0.250 0.881  0.19
Pm 0.264 0.750 0.119  0.19
Pm 0.764 0.250 0.121  0.20

[4]
Density functional theory data (PBE) for a relaxed PmCd2In2 crystal.

formation energy from the elements = -17 meV per atom
energy above the lowest structure with this stoichiometry = 127.7 meV/atom

Lattice parameters (Å, degrees): 5.166 5.166 12.590 90.00 90.00 120.00
Element x y z (fractional)
Cd 0.333 0.667 0.615
In 0.667 0.333 0.750
In 0.000 0.000 0.500
Cd 0.333 0.667 0.885
Cd 0.667 0.333 0.115
In 0.333 0.667 0.250
Pm 0.000 0.000 0.750
Pm 0.000 0.000 0.250
Cd 0.667 0.333 0.385
In 0.000 0.000 0.000

[5]
Density functional theory data (PBE) for a relaxed Pm4Cd3In2 crystal.

formation energy from the elements = -327 meV per atom

Lattice parameters (Å, degrees): 5.307 5.306 10.291 90.01 90.00 60.00
Element x y z (fractional)
Cd 0.667 0.667 0.527
Pm 0.000 0.000 0.329
Pm 0.000 0.000 0.671
Pm 0.333 0.333 0.115
Pm 0.667 0.667 0.885
Cd 0.333 0.333 0.473
Cd 0.000 0.000 0.000
In 0.667 0.667 0.212
In 0.333 0.333 0.788

[6]
Density functional theory data (PBE) for a relaxed Pm8CdIn2 crystal.

formation energy from the elements = -194 meV per atom
energy above the lowest structure with this stoichiometry = 0.0 meV/atom

Lattice parameters (Å, degrees): 5.308 7.278 9.536 100.12 106.16 90.00
Element x y z (fractional)
In 0.794 0.287 0.588
Pm 0.183 0.267 0.366
Cd 0.500 0.000 0.000
Pm 0.406 0.551 0.813
Pm 0.594 0.449 0.187
Pm 0.030 0.744 0.060
Pm 0.663 0.935 0.326
In 0.206 0.713 0.412
Pm 0.817 0.733 0.634
Pm 0.970 0.256 0.940
Pm 0.337 0.065 0.674